TaBPO | PBE-GGA | optimized geometry

Energy relative to the lowest polymorph listed for this composition: 153 meV per atom

a b c (Å): 2.688 6.421 5.374
angles (deg): 90.00 90.00 90.00
Fractional coordinates of all 8 atoms:
1 B 0.000 0.631 0.480
2 B 0.000 0.369 0.980
3 Ta 0.500 0.940 0.039
4 O 0.500 0.258 0.892
5 Ta 0.500 0.060 0.539
6 P 0.000 0.351 0.343
7 P 0.000 0.649 0.843
8 O 0.500 0.742 0.392

---

SrGdPb2 | PBE-GGA | optimized geometry

a b c (Å): 4.482 6.509 6.509
angles (deg): 43.63 90.00 90.00
Fractional coordinates of all 4 atoms:
1 Pb 0.000 0.910 0.910
2 Gd 0.000 0.630 0.630
3 Pb 0.500 0.095 0.095
4 Sr 0.500 0.365 0.365

---

KSmMo | PBE-GGA | optimized geometry

Energy relative to the lowest polymorph listed for this composition: 0 meV per atom

a b c (Å): 5.307 5.307 5.307
angles (deg): 60.00 60.00 60.00
Site moments in Bohr magnetons follow the coordinates.
Fractional coordinates of all 3 atoms:
1 Mo 0.000 0.000 0.000  2.55
2 Sm 0.750 0.750 0.750  0.00
3 K 0.250 0.250 0.250  0.01

---

PrTmNO | PBE-GGA | optimized geometry

Energy relative to the lowest polymorph listed for this composition: 89 meV per atom

a b c (Å): 6.760 8.255 5.103
angles (deg): 90.00 90.00 90.00
Fractional coordinates of all 16 atoms:
1 N 0.942 0.859 0.049
2 O 0.600 0.391 0.555
3 O 0.100 0.609 0.555
4 Tm 0.923 0.381 0.548
5 O 0.400 0.609 0.055
6 Tm 0.423 0.619 0.548
7 Pr 0.423 0.131 0.550
8 Pr 0.077 0.131 0.050
9 O 0.900 0.391 0.055
10 Tm 0.077 0.619 0.048
11 N 0.442 0.141 0.049
12 N 0.558 0.859 0.549
13 Pr 0.577 0.869 0.050
14 N 0.058 0.141 0.549
15 Pr 0.923 0.869 0.550
16 Tm 0.577 0.381 0.048

---

Number 1: total moment 0.0 μB/f.u., energy -7.86 eV/atom. Number 2: total moment 0.0 μB/f.u., energy -3.89 eV/atom. Number 3: total moment 3.0 μB/f.u., energy -3.91 eV/atom. Number 4: total moment 0.0 μB/f.u., energy -7.69 eV/atom.